No. 1
Here is a relaxed structure of BeFeBi from OQMD. Energies are from PBE.

Values from the calculation:
Total magnetization, μB/atom: 0.82
Raw total energy, eV per cell: -14.3
Symmetry: F-43m, No. 216

Unit cell a=4.178 b=4.178 c=4.178 alpha=60.00 beta=60.00 gamma=60.00
Element x y z (fractional)
1 Be 0.000 0.000 0.000
2 Bi 0.250 0.250 0.250
3 Fe 0.750 0.750 0.750

---

No. 2
Here is a relaxed structure of BeFeHgBi from OQMD. Energies are from PBE.

Values from the calculation:
Total magnetization, μB/atom: 0.72
Raw total energy, eV per cell: -13.5
Symmetry: F-43m, No. 216

Unit cell a=4.738 b=4.738 c=4.738 alpha=60.00 beta=60.00 gamma=60.00
Element x y z (fractional)
1 Be 0.250 0.250 0.250
2 Bi 0.000 0.000 0.000
3 Fe 0.750 0.750 0.750
4 Hg 0.500 0.500 0.500

---

No. 3
Here is a relaxed structure of BeInFeBi from OQMD. Energies are from PBE.

Values from the calculation:
Total magnetization, μB/atom: 0.53
Raw total energy, eV per cell: -16.0
Symmetry: F-43m, No. 216

Unit cell a=4.748 b=4.748 c=4.748 alpha=60.00 beta=60.00 gamma=60.00
Element x y z (fractional)
1 Be 0.750 0.750 0.750
2 Bi 0.500 0.500 0.500
3 Fe 0.250 0.250 0.250
4 In 0.000 0.000 0.000

---

No. 4
Here is a relaxed structure of LaBeFeBi from OQMD. Energies are from PBE.

Values from the calculation:
Total magnetization, μB/atom: 0.53
Raw total energy, eV per cell: -18.9
Symmetry: F-43m, No. 216

Unit cell a=5.008 b=5.008 c=5.008 alpha=60.00 beta=60.00 gamma=60.00
Element x y z (fractional)
1 Be 0.750 0.750 0.750
2 Bi 0.500 0.500 0.500
3 Fe 0.000 0.000 0.000
4 La 0.250 0.250 0.250

---

No. 5
Here is a relaxed structure of LaBeFeBi from OQMD. Energies are from PBE.

Values from the calculation:
Total magnetization, μB/atom: 0.46
Raw total energy, eV per cell: -19.9
Symmetry: F-43m, No. 216

Unit cell a=4.840 b=4.840 c=4.840 alpha=60.00 beta=60.00 gamma=60.00
Element x y z (fractional)
1 Be 0.750 0.750 0.750
2 Bi 0.000 0.000 0.000
3 Fe 0.250 0.250 0.250
4 La 0.500 0.500 0.500

---

No. 6
Here is a relaxed structure of LiBeFeBi from OQMD. Energies are from PBE.

Values from the calculation:
Total magnetization, μB/atom: 0.33
Raw total energy, eV per cell: -16.7
Symmetry: F-43m, No. 216

Unit cell a=4.305 b=4.305 c=4.305 alpha=60.00 beta=60.00 gamma=60.00
Last column: magnetic moment on the atom in μB.
Element x y z (fractional)
1 Be 0.500 0.500 0.500  -0.03
2 Bi 0.000 0.000 0.000  0.01
3 Fe 0.250 0.250 0.250  1.31
4 Li 0.750 0.750 0.750  -0.02

---

No. 7
Here is a relaxed structure of LiBeFeBi from OQMD. Energies are from PBE.

Values from the calculation:
Total magnetization, μB/atom: 0.55
Raw total energy, eV per cell: -16.2
Symmetry: F-43m, No. 216

Unit cell a=4.294 b=4.294 c=4.294 alpha=60.00 beta=60.00 gamma=60.00
Last column: magnetic moment on the atom in μB.
Element x y z (fractional)
1 Be 0.000 0.000 0.000  -0.05
2 Bi 0.250 0.250 0.250  0.02
3 Fe 0.750 0.750 0.750  2.23
4 Li 0.500 0.500 0.500  -0.02

---

No. 8
Here is a relaxed structure of MgBeFeBi from OQMD. Energies are from PBE.

Values from the calculation:
Total magnetization, μB/atom: 0.19
Raw total energy, eV per cell: -15.2
Symmetry: F-43m, No. 216

Unit cell a=4.497 b=4.497 c=4.497 alpha=60.00 beta=60.00 gamma=60.00
Last column: magnetic moment on the atom in μB.
Element x y z (fractional)
1 Be 0.500 0.500 0.500  -0.06
2 Bi 0.000 0.000 0.000  -0.02
3 Fe 0.750 0.750 0.750  0.93
4 Mg 0.250 0.250 0.250  -0.01

---

no.,theoretical density (g cm⁻³)
1,8.82
2,10.47
3,8.52
4,7.72
5,8.55
6,8.27
7,8.33
8,7.70